1.
Compound: Fe3RuSe
Source: the Alexandria database
Functional: PBE
Structure: relaxed

Unit cell a=4.331 b=4.331 c=4.331 alpha=90.00 beta=90.00 gamma=90.00
Sites, in units of the cell vectors:
Ru 0.500 0.500 0.500
Fe 0.000 0.500 0.000
Fe 0.000 0.000 0.500
Fe 0.500 0.000 0.000
Se 0.000 0.000 0.000

Computed properties:
The energy above the lowest structure with this stoichiometry comes out at 0 meV per atom. The energy relative to the elements, uncorrected is 467 kJ/mol of formula units. As for the volume: 16.2 Å³ per atom. The space group is No. 221.

=====

2.
Compound: NpHgSe2
Source: the Alexandria database
Functional: PBE
Structure: relaxed

Unit cell a=3.522 b=3.522 c=8.905 alpha=90.00 beta=90.00 gamma=90.00
Sites, in units of the cell vectors:
Np 0.500 0.500 0.000
Hg 0.500 0.500 0.500
Se 0.000 0.000 0.821
Se 0.000 0.000 0.179

Computed properties:
The energy above the lowest structure with this stoichiometry comes out at 86 meV per atom. The energy relative to the elements, uncorrected is -258 kJ/mol of formula units. As for the volume: 27.6 Å³ per atom. The space group is No. 123.

=====

3.
Compound: RbBeS
Source: the Alexandria database
Functional: PBE
Structure: relaxed

Unit cell a=4.680 b=4.993 c=8.075 alpha=108.01 beta=106.84 gamma=90.00
Sites, in units of the cell vectors:
Rb 0.652 0.152 0.303
Rb 0.348 0.848 0.697
Be 0.739 0.500 0.000
Be 0.261 0.500 0.000
S 0.114 0.614 0.228
S 0.886 0.386 0.772

Computed properties:
The energy relative to the elements, uncorrected is -209 kJ/mol of formula units. As for the volume: 28.5 Å³ per atom. The space group is No. 71.

=====

4.
Compound: Zr2AgAu2
Source: the Alexandria database
Functional: PBE
Structure: relaxed

Unit cell a=4.296 b=4.296 c=6.873 alpha=71.79 beta=71.79 gamma=90.00
Sites, in units of the cell vectors:
Au 0.395 0.395 0.209
Au 0.605 0.605 0.791
Zr 0.750 0.250 0.500
Zr 0.250 0.750 0.500
Ag 0.000 0.000 0.000

Computed properties:
The energy above the lowest structure with this stoichiometry comes out at 388 meV per atom. As for the volume: 22.8 Å³ per atom. The value obtained for the energy relative to the elements is 17 kJ/mol of formula units. The space group is No. 139.

=====

5.
Compound: PuTi2Cd
Source: the Alexandria database
Functional: PBE
Structure: relaxed

Unit cell a=3.128 b=3.128 c=8.052 alpha=90.00 beta=90.00 gamma=90.00
Sites, in units of the cell vectors:
Cd 0.500 0.500 0.500
Ti 0.000 0.000 0.745
Ti 0.000 0.000 0.255
Pu 0.500 0.500 0.000

Computed properties:
The energy above the lowest structure with this stoichiometry comes out at 7 meV per atom. As for the volume: 19.7 Å³ per atom. The value obtained for the energy relative to the elements is 38 kJ/mol of formula units. The space group is No. 123.

=====

6.
Compound: Np2TlSe4S
Source: the Alexandria database
Functional: PBE
Structure: relaxed

Unit cell a=3.923 b=7.476 c=13.647 alpha=90.00 beta=90.00 gamma=105.21
Sites, in units of the cell vectors:
Np 0.385 0.770 0.606
Np 0.615 0.230 0.106
Np 0.615 0.230 0.394
Np 0.385 0.770 0.894
Tl 0.177 0.353 0.750
Tl 0.823 0.647 0.250
Se 0.267 0.534 0.081
Se 0.733 0.466 0.581
Se 0.733 0.466 0.919
Se 0.267 0.534 0.419
Se 0.000 0.000 0.500
Se 0.000 0.000 0.000
Se 0.536 0.071 0.750
Se 0.464 0.929 0.250
S 0.881 0.762 0.750
S 0.119 0.238 0.250

Computed properties:
The energy relative to the elements, uncorrected is -621 kJ/mol of formula units. As for the volume: 24.1 Å³ per atom. The space group is No. 63.

=====

7.
Compound: Hf2HgPd2
Source: the Alexandria database
Functional: PBE
Structure: relaxed

Unit cell a=4.605 b=4.605 c=6.068 alpha=67.70 beta=67.70 gamma=90.00
Sites, in units of the cell vectors:
Hf 0.750 0.250 0.500
Hf 0.250 0.750 0.500
Hg 0.000 0.000 0.000
Pd 0.377 0.377 0.246
Pd 0.623 0.623 0.754

Computed properties:
As for the volume: 21.7 Å³ per atom. The value obtained for the energy relative to the elements is -122 kJ/mol of formula units. The space group is No. 139.

=====

8.
Compound: Li2ReO6
Source: the Alexandria database
Functional: PBE
Structure: relaxed

Unit cell a=4.750 b=4.750 c=9.251 alpha=90.00 beta=90.00 gamma=90.00
Sites, in units of the cell vectors:
Li 0.000 0.000 0.337
Li 0.500 0.500 0.837
Li 0.500 0.500 0.163
Li 0.000 0.000 0.663
Re 0.000 0.000 0.000
Re 0.500 0.500 0.500
O 0.304 0.304 0.355
O 0.696 0.696 0.355
O 0.196 0.804 0.855
O 0.804 0.196 0.855
O 0.196 0.804 0.145
O 0.804 0.196 0.145
O 0.304 0.304 0.645
O 0.696 0.696 0.645
O 0.282 0.282 0.000
O 0.718 0.718 0.000
O 0.218 0.782 0.500
O 0.782 0.218 0.500

Computed properties:
The energy relative to the elements, uncorrected is -947 kJ/mol of formula units. As for the volume: 11.6 Å³ per atom. The space group is No. 136.